# 1
# Zn3HgBr

A geometry-optimized Zn3HgBr structure (PBE-GGA, Alexandria via LeMat-Bulk).

Summary:
- Total magnetization: 0.00 Bohr magnetons per cell
- D(E_F): 4.5 states/eV/cell
- E_form (uncorrected): 534.7 meV per atom
- Calculated density: 4.1 Mg/m³
- Energy: -3.12 eV for the cell shown
- Calculated volume: 38.7 A^3/atom

Cell: 5.783 5.783 5.783 Å, 90.00 90.00 90.00°
Fractional coordinates of all 5 atoms:
Zn 0.000 0.500 0.000
Zn 0.000 0.000 0.500
Zn 0.500 0.000 0.000
Br 0.000 0.000 0.000
Hg 0.500 0.500 0.500

***

# 2
# Zn2Hg2Br

A geometry-optimized Zn2Hg2Br structure (PBE-GGA, Alexandria via LeMat-Bulk).

Summary:
- Total magnetization: 0.00 Bohr magnetons per cell
- D(E_F): 1.2 states/eV/cell
- E_form (uncorrected): 16.8 meV per atom
- Calculated density: 7.6 Mg/m³
- Energy: -4.74 eV for the cell shown
- Calculated volume: 26.7 A^3/atom

Cell: 5.111 5.111 6.252 Å, 65.87 65.87 90.00°
Fractional coordinates of all 5 atoms:
Zn 0.750 0.250 0.500
Zn 0.250 0.750 0.500
Br 0.000 0.000 0.000
Hg 0.647 0.647 0.705
Hg 0.353 0.353 0.295

***

# 3
# Zn2Hg2Br

A geometry-optimized Zn2Hg2Br structure (PBE-GGA, Alexandria via LeMat-Bulk).

Summary:
- Total magnetization: 0.00 Bohr magnetons per cell
- D(E_F): 3.9 states/eV/cell
- E_form (uncorrected): 6.5 meV per atom
- Calculated density: 8.9 Mg/m³
- Energy: -9.58 eV for the cell shown
- Calculated volume: 23.0 A^3/atom

Cell: 8.012 8.012 3.576 Å, 90.00 90.00 90.00°
Fractional coordinates of all 10 atoms:
Hg 0.690 0.810 0.500
Hg 0.190 0.690 0.500
Hg 0.310 0.190 0.500
Hg 0.810 0.310 0.500
Zn 0.616 0.116 0.000
Zn 0.116 0.384 0.000
Zn 0.884 0.616 0.000
Zn 0.384 0.884 0.000
Br 0.500 0.500 0.000
Br 0.000 0.000 0.000